Record 1
Entry from the Alexandria database: a geometry-optimized Dy4Y2Ho structure (PBE).

Computed properties:
Magnetic moment, μB per cell: 0.00
Energy of formation from the pure elements, eV/atom: 0.0057
Energy, eV/f.u.: -35.87

Cell and atoms, written as CIF:
```
data_Dy4Y2Ho
_symmetry_space_group_name_H-M 'P 1'
_symmetry_Int_Tables_number 1
_cell_length_a 3.580
_cell_length_b 3.580
_cell_length_c 19.991
_cell_angle_alpha 90.00
_cell_angle_beta 90.00
_cell_angle_gamma 120.00
loop_
_symmetry_equiv_pos_as_xyz
'x,y,z'
loop_
_atom_site_label
_atom_site_fract_x
_atom_site_fract_y
_atom_site_fract_z
Dy1 0.000 0.000 0.000
Dy2 0.000 0.000 0.283
Dy3 0.667 0.333 0.427
Dy4 0.667 0.333 0.713
Y1 0.333 0.667 0.570
Y2 0.333 0.667 0.856
Ho1 0.333 0.667 0.141
```



Record 2
Entry from the Alexandria database: a geometry-optimized Dy8Y2Ho3 structure (PBE).

Computed properties:
Magnetic moment, μB per cell: 0.00
Energy of formation from the pure elements, eV/atom: 0.2338
Energy, eV/f.u.: -60.44

Cell and atoms, written as CIF:
```
data_Dy8Y2Ho3
_symmetry_space_group_name_H-M 'P 1'
_symmetry_Int_Tables_number 1
_cell_length_a 10.833
_cell_length_b 10.833
_cell_length_c 5.581
_cell_angle_alpha 90.02
_cell_angle_beta 90.02
_cell_angle_gamma 41.04
loop_
_symmetry_equiv_pos_as_xyz
'x,y,z'
loop_
_atom_site_label
_atom_site_fract_x
_atom_site_fract_y
_atom_site_fract_z
Dy1 0.104 0.681 0.000
Dy2 0.165 0.165 0.501
Dy3 0.319 0.896 0.000
Dy4 0.368 0.368 0.500
Dy5 0.632 0.632 0.500
Dy6 0.681 0.104 0.000
Dy7 0.835 0.835 0.499
Dy8 0.896 0.319 0.000
Y1 0.259 0.259 0.001
Y2 0.741 0.741 0.999
Ho1 0.215 0.785 0.500
Ho2 0.500 0.500 0.000
Ho3 0.785 0.215 0.500
```



Record 3
Entry from the Alexandria database: a geometry-optimized Dy7Y3Ho structure (PBE).

Computed properties:
Magnetic moment, μB per cell: 0.00
Energy of formation from the pure elements, eV/atom: 0.1510
Energy, eV/f.u.: -54.52

Cell and atoms, written as CIF:
```
data_Dy7Y3Ho
_symmetry_space_group_name_H-M 'P 1'
_symmetry_Int_Tables_number 1
_cell_length_a 6.997
_cell_length_b 5.525
_cell_length_c 9.869
_cell_angle_alpha 90.00
_cell_angle_beta 110.38
_cell_angle_gamma 90.00
loop_
_symmetry_equiv_pos_as_xyz
'x,y,z'
loop_
_atom_site_label
_atom_site_fract_x
_atom_site_fract_y
_atom_site_fract_z
Dy1 0.000 0.000 0.000
Dy2 0.147 0.500 0.293
Dy3 0.322 0.500 0.641
Dy4 0.418 0.000 0.830
Dy5 0.582 0.000 0.170
Dy6 0.678 0.500 0.359
Dy7 0.853 0.500 0.707
Y1 0.000 0.000 0.500
Y2 0.279 0.500 0.998
Y3 0.721 0.500 0.002
Ho1 0.500 0.000 0.500
```



Record 4
Entry from the Alexandria database: a geometry-optimized Dy4YHo structure (PBE).

Computed properties:
Magnetic moment, μB per cell: 0.00
Energy of formation from the pure elements, eV/atom: 0.0202
Energy, eV/f.u.: -29.33

Cell and atoms, written as CIF:
```
data_Dy4YHo
_symmetry_space_group_name_H-M 'P 1'
_symmetry_Int_Tables_number 1
_cell_length_a 3.538
_cell_length_b 6.144
_cell_length_c 9.380
_cell_angle_alpha 77.26
_cell_angle_beta 79.24
_cell_angle_gamma 73.39
loop_
_symmetry_equiv_pos_as_xyz
'x,y,z'
loop_
_atom_site_label
_atom_site_fract_x
_atom_site_fract_y
_atom_site_fract_z
Dy1 0.167 0.001 0.166
Dy2 0.167 0.498 0.668
Dy3 0.833 0.502 0.332
Dy4 0.833 0.999 0.834
Y1 0.500 0.000 0.500
Ho1 0.500 0.500 0.000
```



Record 5
Entry from the Alexandria database: a geometry-optimized Dy3Y6Ho2 structure (PBE).

Computed properties:
Magnetic moment, μB per cell: 0.00
Energy of formation from the pure elements, eV/atom: 0.0236
Energy, eV/f.u.: -61.49

Cell and atoms, written as CIF:
```
data_Dy3Y6Ho2
_symmetry_space_group_name_H-M 'P 1'
_symmetry_Int_Tables_number 1
_cell_length_a 31.970
_cell_length_b 31.970
_cell_length_c 31.970
_cell_angle_alpha 6.39
_cell_angle_beta 6.39
_cell_angle_gamma 6.39
loop_
_symmetry_equiv_pos_as_xyz
'x,y,z'
loop_
_atom_site_label
_atom_site_fract_x
_atom_site_fract_y
_atom_site_fract_z
Dy1 0.000 0.000 0.000
Dy2 0.273 0.273 0.273
Dy3 0.727 0.727 0.727
Y1 0.091 0.091 0.091
Y2 0.182 0.182 0.182
Y3 0.364 0.364 0.364
Y4 0.636 0.636 0.636
Y5 0.818 0.818 0.818
Y6 0.909 0.909 0.909
Ho1 0.454 0.454 0.454
Ho2 0.546 0.546 0.546
```



Record 6
Entry from the Alexandria database: a geometry-optimized DyY3Ho5 structure (PBE).

Computed properties:
Magnetic moment, μB per cell: 0.00
Energy of formation from the pure elements, eV/atom: 0.0628
Energy, eV/f.u.: -46.32

Cell and atoms, written as CIF:
```
data_DyY3Ho5
_symmetry_space_group_name_H-M 'P 1'
_symmetry_Int_Tables_number 1
_cell_length_a 9.689
_cell_length_b 9.689
_cell_length_c 6.985
_cell_angle_alpha 90.00
_cell_angle_beta 90.00
_cell_angle_gamma 120.00
loop_
_symmetry_equiv_pos_as_xyz
'x,y,z'
loop_
_atom_site_label
_atom_site_fract_x
_atom_site_fract_y
_atom_site_fract_z
Dy1 0.000 0.000 0.000
Dy2 0.000 0.000 0.500
Y1 0.000 0.357 0.250
Y2 0.000 0.643 0.750
Y3 0.357 0.000 0.250
Y4 0.357 0.357 0.750
Y5 0.643 0.000 0.750
Y6 0.643 0.643 0.250
Ho1 0.000 0.309 0.750
Ho2 0.000 0.691 0.250
Ho3 0.309 0.000 0.750
Ho4 0.309 0.309 0.250
Ho5 0.333 0.667 0.000
Ho6 0.333 0.667 0.500
Ho7 0.667 0.333 0.000
Ho8 0.667 0.333 0.500
Ho9 0.691 0.000 0.250
Ho10 0.691 0.691 0.750
```



Record 7
Entry from the Alexandria database: a geometry-optimized Dy2Y2Ho15 structure (PBE).

Computed properties:
Magnetic moment, μB per cell: 0.00
Energy of formation from the pure elements, eV/atom: 0.2899
Energy, eV/f.u.: -85.29

Cell and atoms, written as CIF:
```
data_Dy2Y2Ho15
_symmetry_space_group_name_H-M 'P 1'
_symmetry_Int_Tables_number 1
_cell_length_a 8.681
_cell_length_b 8.681
_cell_length_c 8.681
_cell_angle_alpha 79.45
_cell_angle_beta 79.45
_cell_angle_gamma 79.45
loop_
_symmetry_equiv_pos_as_xyz
'x,y,z'
loop_
_atom_site_label
_atom_site_fract_x
_atom_site_fract_y
_atom_site_fract_z
Dy1 0.177 0.177 0.177
Dy2 0.823 0.823 0.823
Y1 0.402 0.402 0.402
Y2 0.598 0.598 0.598
Ho1 0.000 0.500 0.500
Ho2 0.130 0.130 0.649
Ho3 0.130 0.649 0.130
Ho4 0.200 0.500 0.800
Ho5 0.200 0.800 0.500
Ho6 0.351 0.870 0.870
Ho7 0.500 0.000 0.500
Ho8 0.500 0.200 0.800
Ho9 0.500 0.500 0.000
Ho10 0.500 0.800 0.200
Ho11 0.649 0.130 0.130
Ho12 0.800 0.200 0.500
Ho13 0.800 0.500 0.200
Ho14 0.870 0.351 0.870
Ho15 0.870 0.870 0.351
```



Record 8
Entry from the Alexandria database: a geometry-optimized Dy3Y3Ho2 structure (PBE).

Computed properties:
Magnetic moment, μB per cell: 0.00
Energy of formation from the pure elements, eV/atom: 0.0964
Energy, eV/f.u.: -41.58

Cell and atoms, written as CIF:
```
data_Dy3Y3Ho2
_symmetry_space_group_name_H-M 'P 1'
_symmetry_Int_Tables_number 1
_cell_length_a 8.531
_cell_length_b 8.531
_cell_length_c 5.997
_cell_angle_alpha 109.89
_cell_angle_beta 109.89
_cell_angle_gamma 38.99
loop_
_symmetry_equiv_pos_as_xyz
'x,y,z'
loop_
_atom_site_label
_atom_site_fract_x
_atom_site_fract_y
_atom_site_fract_z
Dy1 0.000 0.000 0.000
Dy2 0.132 0.132 0.690
Dy3 0.868 0.868 0.310
Y1 0.368 0.368 0.923
Y2 0.500 0.500 0.500
Y3 0.632 0.632 0.077
Ho1 0.249 0.249 0.317
Ho2 0.751 0.751 0.683
```



Record 9
Entry from the Alexandria database: a geometry-optimized Dy2Y2Ho structure (PBE).

Computed properties:
Magnetic moment, μB per cell: 0.00
Energy of formation from the pure elements, eV/atom: 0.0212
Energy, eV/f.u.: -26.60

Cell and atoms, written as CIF:
```
data_Dy2Y2Ho
_symmetry_space_group_name_H-M 'P 1'
_symmetry_Int_Tables_number 1
_cell_length_a 12.814
_cell_length_b 10.022
_cell_length_c 5.020
_cell_angle_alpha 90.00
_cell_angle_beta 101.17
_cell_angle_gamma 90.00
loop_
_symmetry_equiv_pos_as_xyz
'x,y,z'
loop_
_atom_site_label
_atom_site_fract_x
_atom_site_fract_y
_atom_site_fract_z
Dy1 0.001 0.125 0.250
Dy2 0.001 0.375 0.750
Dy3 0.400 0.625 0.450
Dy4 0.400 0.875 0.950
Dy5 0.600 0.125 0.050
Dy6 0.600 0.375 0.550
Dy7 0.999 0.625 0.250
Dy8 0.999 0.875 0.750
Y1 0.199 0.625 0.850
Y2 0.199 0.875 0.350
Y3 0.400 0.125 0.450
Y4 0.400 0.375 0.950
Y5 0.600 0.625 0.050
Y6 0.600 0.875 0.550
Y7 0.801 0.125 0.650
Y8 0.801 0.375 0.150
Ho1 0.199 0.125 0.849
Ho2 0.199 0.375 0.349
Ho3 0.801 0.625 0.651
Ho4 0.801 0.875 0.151
```



Record 10
Entry from the Alexandria database: a geometry-optimized Dy8YHo5 structure (PBE).

Computed properties:
Magnetic moment, μB per cell: 0.00
Energy of formation from the pure elements, eV/atom: 0.2537
Energy, eV/f.u.: -62.62

Cell and atoms, written as CIF:
```
data_Dy8YHo5
_symmetry_space_group_name_H-M 'P 1'
_symmetry_Int_Tables_number 1
_cell_length_a 8.407
_cell_length_b 8.407
_cell_length_c 8.407
_cell_angle_alpha 111.08
_cell_angle_beta 111.08
_cell_angle_gamma 106.31
loop_
_symmetry_equiv_pos_as_xyz
'x,y,z'
loop_
_atom_site_label
_atom_site_fract_x
_atom_site_fract_y
_atom_site_fract_z
Dy1 0.079 0.333 0.605
Dy2 0.164 0.425 0.084
Dy3 0.342 0.080 0.916
Dy4 0.526 0.921 0.253
Dy5 0.575 0.658 0.738
Dy6 0.667 0.273 0.747
Dy7 0.727 0.474 0.395
Dy8 0.920 0.836 0.262
Y1 0.250 0.750 0.500
Ho1 0.036 0.716 0.901
Ho2 0.284 0.185 0.320
Ho3 0.500 0.500 0.000
Ho4 0.815 0.135 0.099
Ho5 0.865 0.964 0.680
```